*A*
Computed, not measured: an optimized crystal structure of RbSr3Rh at the PBE level of DFT.

Unit cell a=6.099 b=6.099 c=6.099 alpha=90.00 beta=90.00 gamma=90.00
Element x y z (fractional)
1 Rb 0.000 0.000 0.000
2 Sr 0.000 0.500 0.500
3 Sr 0.500 0.000 0.500
4 Sr 0.500 0.500 0.000
5 Rh 0.500 0.500 0.500

Computed properties:
volume = 226.91 Å³/cell

=====

*B*
Computed, not measured: an optimized crystal structure of RbSr3Rh at the PBE level of DFT.

Unit cell a=9.315 b=9.315 c=9.315 alpha=52.14 beta=52.14 gamma=52.14
Element x y z (fractional)
1 Rb 0.000 0.000 0.000
2 Sr 0.012 0.012 0.493
3 Sr 0.012 0.493 0.012
4 Sr 0.493 0.012 0.012
5 Rh 0.233 0.233 0.233

Computed properties:
volume = 465.93 Å³/cell

=====

The winner here is *A*, beating the second structure by 676 meV/atom.

=====

*A*
Computed, not measured: an optimized crystal structure of RbSr3Rh at the PBE level of DFT.

Unit cell a=6.251 b=6.251 c=6.251 alpha=85.50 beta=85.50 gamma=85.50
Element x y z (fractional)
1 Rb 0.000 0.000 0.000
2 Sr 0.452 0.452 0.925
3 Sr 0.452 0.925 0.452
4 Sr 0.925 0.452 0.452
5 Rh 0.739 0.739 0.739

Computed properties:
volume = 242.16 Å³/cell

=====

*B*
Computed, not measured: an optimized crystal structure of RbSr3Rh at the PBE level of DFT.

Unit cell a=11.988 b=11.988 c=11.988 alpha=36.68 beta=36.68 gamma=36.68
Element x y z (fractional)
1 Rb 0.167 0.167 0.167
2 Rb 0.833 0.833 0.833
3 Sr 0.052 0.700 0.392
4 Sr 0.300 0.608 0.948
5 Sr 0.392 0.052 0.700
6 Sr 0.608 0.948 0.300
7 Sr 0.700 0.392 0.052
8 Sr 0.948 0.300 0.608
9 Rh 0.332 0.332 0.332
10 Rh 0.668 0.668 0.668

Computed properties:
volume = 550.66 Å³/cell

=====

The winner here is *B*, beating the second structure by 275 meV/atom.

=====

*A*
Computed, not measured: an optimized crystal structure of RbSr3Rh at the PBE level of DFT.

Unit cell a=8.119 b=9.813 c=12.276 alpha=90.00 beta=90.00 gamma=90.00
Element x y z (fractional)
1 Rb 0.000 0.000 0.000
2 Rb 0.000 0.500 0.000
3 Rb 0.500 0.000 0.500
4 Rb 0.500 0.500 0.500
5 Sr 0.004 0.063 0.365
6 Sr 0.004 0.437 0.365
7 Sr 0.248 0.250 0.747
8 Sr 0.252 0.750 0.247
9 Sr 0.496 0.563 0.865
10 Sr 0.496 0.937 0.865
11 Sr 0.504 0.063 0.135
12 Sr 0.504 0.437 0.135
13 Sr 0.748 0.250 0.753
14 Sr 0.752 0.750 0.253
15 Sr 0.996 0.563 0.635
16 Sr 0.996 0.937 0.635
17 Rh 0.005 0.750 0.430
18 Rh 0.495 0.250 0.930
19 Rh 0.505 0.750 0.070
20 Rh 0.995 0.250 0.570

Computed properties:
volume = 978.11 Å³/cell

=====

*B*
Computed, not measured: an optimized crystal structure of RbSr3Rh at the PBE level of DFT.

Unit cell a=9.549 b=9.549 c=7.537 alpha=100.49 beta=100.49 gamma=40.69
Element x y z (fractional)
1 Rb 0.070 0.070 0.297
2 Rb 0.930 0.930 0.703
3 Sr 0.195 0.195 0.937
4 Sr 0.309 0.309 0.497
5 Sr 0.470 0.470 0.209
6 Sr 0.530 0.530 0.791
7 Sr 0.691 0.691 0.503
8 Sr 0.805 0.805 0.063
9 Rh 0.357 0.357 0.881
10 Rh 0.643 0.643 0.119

Computed properties:
volume = 439.59 Å³/cell

=====

*C*
Computed, not measured: an optimized crystal structure of RbSr3Rh at the PBE level of DFT.

Unit cell a=7.118 b=7.158 c=11.477 alpha=94.55 beta=95.17 gamma=114.95
Element x y z (fractional)
1 Rb 0.189 0.309 0.000
2 Rb 0.811 0.691 0.000
3 Sr 0.127 0.967 0.369
4 Sr 0.211 0.709 0.682
5 Sr 0.463 0.628 0.369
6 Sr 0.537 0.372 0.631
7 Sr 0.789 0.291 0.318
8 Sr 0.873 0.033 0.631
9 Rh 0.132 0.367 0.501
10 Rh 0.868 0.633 0.499

Computed properties:
volume = 523.51 Å³/cell

=====

*D*
Computed, not measured: an optimized crystal structure of RbSr3Rh at the PBE level of DFT.

Unit cell a=4.948 b=4.948 c=26.643 alpha=90.00 beta=90.00 gamma=120.00
Element x y z (fractional)
1 Rb 0.000 0.000 0.000
2 Rb 0.000 0.000 0.500
3 Sr 0.000 0.000 0.250
4 Sr 0.000 0.000 0.750
5 Sr 0.333 0.667 0.142
6 Sr 0.333 0.667 0.358
7 Sr 0.667 0.333 0.642
8 Sr 0.667 0.333 0.858
9 Rh 0.333 0.667 0.250
10 Rh 0.667 0.333 0.750

Computed properties:
volume = 564.80 Å³/cell

=====

The winner here is *C*, beating the second structure by 127 meV/atom.

=====

*A*
Computed, not measured: an optimized crystal structure of Rb3SrRh at the PBE level of DFT.

Unit cell a=7.941 b=7.941 c=7.941 alpha=90.00 beta=90.00 gamma=90.00
Element x y z (fractional)
1 Rb 0.000 0.000 0.500
2 Rb 0.000 0.500 0.000
3 Rb 0.500 0.000 0.000
4 Sr 0.000 0.000 0.000
5 Rh 0.500 0.500 0.500

Computed properties:
volume = 500.79 Å³/cell

=====

*B*
Computed, not measured: an optimized crystal structure of Rb3SrRh at the PBE level of DFT.

Unit cell a=6.544 b=6.544 c=6.544 alpha=90.00 beta=90.00 gamma=90.00
Element x y z (fractional)
1 Rb 0.000 0.000 0.500
2 Rb 0.000 0.500 0.000
3 Rb 0.500 0.000 0.000
4 Sr 0.500 0.500 0.500
5 Rh 0.000 0.000 0.000

Computed properties:
volume = 280.28 Å³/cell

=====

The winner here is *B*, beating the second structure by 775 meV/atom.

=====

*A*
Computed, not measured: an optimized crystal structure of Rb2SrZrRh at the PBE level of DFT.

Unit cell a=7.065 b=7.065 c=4.778 alpha=90.00 beta=90.00 gamma=90.00
Element x y z (fractional)
1 Rb 0.000 0.500 0.000
2 Rb 0.500 0.000 0.000
3 Sr 0.000 0.000 0.500
4 Zr 0.500 0.500 0.000
5 Rh 0.500 0.500 0.500

Computed properties:
volume = 238.51 Å³/cell

=====

*B*
Computed, not measured: an optimized crystal structure of Rb2SrZrRh at the PBE level of DFT.

Unit cell a=6.089 b=6.089 c=5.683 alpha=90.00 beta=90.00 gamma=90.00
Element x y z (fractional)
1 Rb 0.000 0.500 0.000
2 Rb 0.500 0.000 0.000
3 Sr 0.000 0.000 0.500
4 Zr 0.500 0.500 0.500
5 Rh 0.000 0.000 0.000

Computed properties:
volume = 210.71 Å³/cell

=====

The winner here is *A*, beating the second structure by 413 meV/atom.

=====

*A*
Computed, not measured: an optimized crystal structure of RbTa3Rh at the PBE level of DFT.

Unit cell a=4.713 b=4.713 c=4.713 alpha=90.00 beta=90.00 gamma=90.00
Element x y z (fractional)
1 Rb 0.000 0.000 0.000
2 Ta 0.000 0.000 0.500
3 Ta 0.000 0.500 0.000
4 Ta 0.500 0.000 0.000
5 Rh 0.500 0.500 0.500

Computed properties:
volume = 104.67 Å³/cell

=====

*B*
Computed, not measured: an optimized crystal structure of RbTa3Rh at the PBE level of DFT.

Unit cell a=4.992 b=4.992 c=4.992 alpha=90.00 beta=90.00 gamma=90.00
Element x y z (fractional)
1 Rb 0.000 0.000 0.000
2 Ta 0.000 0.500 0.500
3 Ta 0.500 0.000 0.500
4 Ta 0.500 0.500 0.000
5 Rh 0.500 0.500 0.500

Computed properties:
volume = 124.42 Å³/cell

=====

The winner here is *B*, beating the second structure by 1730 meV/atom.

=====

*A*
Computed, not measured: an optimized crystal structure of RbTaRh2 at the PBE level of DFT.

Unit cell a=6.326 b=6.326 c=6.326 alpha=107.42 beta=107.42 gamma=113.65
Element x y z (fractional)
1 Rb 0.000 0.000 0.000
2 Rb 0.750 0.250 0.500
3 Ta 0.250 0.750 0.500
4 Ta 0.500 0.500 0.000
5 Rh 0.197 0.125 0.572
6 Rh 0.375 0.803 0.928
7 Rh 0.553 0.625 0.428
8 Rh 0.875 0.447 0.072

Computed properties:
volume = 194.13 Å³/cell

=====

*B*
Computed, not measured: an optimized crystal structure of RbTaRh2 at the PBE level of DFT.

Unit cell a=4.746 b=4.746 c=4.746 alpha=60.00 beta=60.00 gamma=60.00
Element x y z (fractional)
1 Rb 0.000 0.000 0.000
2 Ta 0.500 0.500 0.500
3 Rh 0.250 0.250 0.250
4 Rh 0.750 0.750 0.750

Computed properties:
volume = 75.57 Å³/cell

=====

The winner here is *A*, beating the second structure by 199 meV/atom.

=====

*A*
Computed, not measured: an optimized crystal structure of RbTaRh3 at the PBE level of DFT.

Unit cell a=4.702 b=4.702 c=4.702 alpha=90.00 beta=90.00 gamma=90.00
Element x y z (fractional)
1 Rb 0.000 0.000 0.000
2 Ta 0.500 0.500 0.500
3 Rh 0.000 0.000 0.500
4 Rh 0.000 0.500 0.000
5 Rh 0.500 0.000 0.000

Computed properties:
volume = 103.99 Å³/cell

=====

*B*
Computed, not measured: an optimized crystal structure of RbTaRh3 at the PBE level of DFT.

Unit cell a=4.881 b=4.881 c=4.881 alpha=90.00 beta=90.00 gamma=90.00
Element x y z (fractional)
1 Rb 0.000 0.000 0.000
2 Ta 0.500 0.500 0.500
3 Rh 0.000 0.500 0.500
4 Rh 0.500 0.000 0.500
5 Rh 0.500 0.500 0.000

Computed properties:
volume = 116.30 Å³/cell

=====

The winner here is *B*, beating the second structure by 1778 meV/atom.